# 1
Density functional theory data (PBE) for a relaxed Er3Ag2Hg crystal.

Geometry as CIF:
```
data_Er3Ag2Hg
_space_group_name_H-M_alt 'P 4/m m m'
_space_group_IT_number 123
_space_group_name_Hall '-P 4 2'
_cell_length_a 3.645
_cell_length_b 3.645
_cell_length_c 10.826
_cell_angle_alpha 90.00
_cell_angle_beta 90.00
_cell_angle_gamma 90.00
loop_
_atom_site_label
_atom_site_type_symbol
_atom_site_fract_x
_atom_site_fract_y
_atom_site_fract_z
_atom_site_occupancy
Er1 Er 0.000 0.000 0.000 1
Er2 Er 0.000 0.000 0.329 1
Ag1 Ag 0.500 0.500 0.165 1
Hg1 Hg 0.500 0.500 0.500 1
```

Summary:
E_form: -0.383 eV/atom
excess energy over the best structure of this formula in the dataset: 0.0023 eV/atom
D(E_F): 0.591 states/eV/atom


# 2
Density functional theory data (PBE) for a relaxed Pr3Sm3Cd2 crystal.

Geometry as CIF:
```
data_Pr3Sm3Cd2
_space_group_name_H-M_alt 'C m c m'
_space_group_IT_number 63
_space_group_name_Hall '-C 2c 2'
_cell_length_a 5.408
_cell_length_b 12.011
_cell_length_c 15.920
_cell_angle_alpha 90.00
_cell_angle_beta 90.00
_cell_angle_gamma 90.00
loop_
_atom_site_label
_atom_site_type_symbol
_atom_site_fract_x
_atom_site_fract_y
_atom_site_fract_z
_atom_site_occupancy
Pr1 Pr 0.000 0.036 0.108 1
Pr2 Pr 0.000 0.268 0.250 1
Sm1 Sm 0.000 0.356 0.030 1
Sm2 Sm 0.000 0.457 0.750 1
Cd1 Cd 0.000 0.231 0.639 1
```

Summary:
E_form: -0.071 eV/atom
D(E_F): 1.234 states/eV/atom


# 3
Density functional theory data (PBE) for a relaxed La2TlCdIr crystal.

Geometry as CIF:
```
data_La2TlCdIr
_space_group_name_H-M_alt 'P 4/m m m'
_space_group_IT_number 123
_space_group_name_Hall '-P 4 2'
_cell_length_a 5.490
_cell_length_b 5.490
_cell_length_c 5.296
_cell_angle_alpha 90.00
_cell_angle_beta 90.00
_cell_angle_gamma 90.00
loop_
_atom_site_label
_atom_site_type_symbol
_atom_site_fract_x
_atom_site_fract_y
_atom_site_fract_z
_atom_site_occupancy
La1 La 0.000 0.500 0.000 1
Tl1 Tl 0.000 0.000 0.500 1
Cd1 Cd 0.500 0.500 0.500 1
Ir1 Ir 0.500 0.500 0.000 1
```

Summary:
E_form: -0.397 eV/atom
excess energy over the best structure of this formula in the dataset: 0.1388 eV/atom
D(E_F): 0.877 states/eV/atom


# 4
Density functional theory data (PBE) for a relaxed PmHfZr crystal.

Geometry as CIF:
```
data_PmHfZr
_space_group_name_H-M_alt 'I 4 m m'
_space_group_IT_number 107
_space_group_name_Hall 'I 4 -2'
_cell_length_a 3.227
_cell_length_b 3.227
_cell_length_c 15.145
_cell_angle_alpha 90.00
_cell_angle_beta 90.00
_cell_angle_gamma 90.00
loop_
_atom_site_label
_atom_site_type_symbol
_atom_site_fract_x
_atom_site_fract_y
_atom_site_fract_z
_atom_site_occupancy
Pm1 Pm 0.000 0.000 0.000 1
Hf1 Hf 0.000 0.000 0.676 1
Zr1 Zr 0.000 0.000 0.315 1
```

Summary:
E_form: 0.131 eV/atom
excess energy over the best structure of this formula in the dataset: 0.0000 eV/atom
D(E_F): 1.133 states/eV/atom


# 5
Density functional theory data (PBE) for a relaxed DyTh2Pd crystal.

Geometry as CIF:
```
data_DyTh2Pd
_space_group_name_H-M_alt 'C m c m'
_space_group_IT_number 63
_space_group_name_Hall '-C 2c 2'
_cell_length_a 3.721
_cell_length_b 11.781
_cell_length_c 10.330
_cell_angle_alpha 90.00
_cell_angle_beta 90.00
_cell_angle_gamma 90.00
loop_
_atom_site_label
_atom_site_type_symbol
_atom_site_fract_x
_atom_site_fract_y
_atom_site_fract_z
_atom_site_occupancy
Dy1 Dy 0.000 0.082 0.250 1
Th1 Th 0.000 0.365 0.050 1
Pd1 Pd 0.000 0.220 0.750 1
```

Summary:
E_form: -0.392 eV/atom
excess energy over the best structure of this formula in the dataset: 0.0000 eV/atom
D(E_F): 1.131 states/eV/atom


# 6
Density functional theory data (PBE) for a relaxed RbZr2Te2 crystal.

Geometry as CIF:
```
data_RbZr2Te2
_space_group_name_H-M_alt 'I 4/m m m'
_space_group_IT_number 139
_space_group_name_Hall '-I 4 2'
_cell_length_a 4.348
_cell_length_b 4.348
_cell_length_c 16.824
_cell_angle_alpha 90.00
_cell_angle_beta 90.00
_cell_angle_gamma 90.00
loop_
_atom_site_label
_atom_site_type_symbol
_atom_site_fract_x
_atom_site_fract_y
_atom_site_fract_z
_atom_site_occupancy
Rb1 Rb 0.000 0.000 0.000 1
Zr1 Zr 0.000 0.500 0.250 1
Te1 Te 0.000 0.000 0.371 1
```

Summary:
ΔE_f (raw): -3.6 eV per formula unit
D(E_F): 0.810 states/eV/atom


# 7
Density functional theory data (PBE) for a relaxed Sr3YZn crystal.

Geometry as CIF:
```
data_Sr3YZn
_space_group_name_H-M_alt 'P m -3 m'
_space_group_IT_number 221
_space_group_name_Hall '-P 4 2 3'
_cell_length_a 6.699
_cell_length_b 6.699
_cell_length_c 6.699
_cell_angle_alpha 90.00
_cell_angle_beta 90.00
_cell_angle_gamma 90.00
loop_
_atom_site_label
_atom_site_type_symbol
_atom_site_fract_x
_atom_site_fract_y
_atom_site_fract_z
_atom_site_occupancy
Sr1 Sr 0.000 0.000 0.500 1
Y1 Y 0.000 0.000 0.000 1
Zn1 Zn 0.500 0.500 0.500 1
```

Summary:
E_form: 0.853 eV/atom
excess energy over the best structure of this formula in the dataset: 0.5990 eV/atom
D(E_F): 0.828 states/eV/atom


# 8
Density functional theory data (PBE) for a relaxed Ce2EuEr crystal.

Geometry as CIF:
```
data_Ce2EuEr
_space_group_name_H-M_alt 'P 4/m m m'
_space_group_IT_number 123
_space_group_name_Hall '-P 4 2'
_cell_length_a 3.500
_cell_length_b 3.500
_cell_length_c 10.466
_cell_angle_alpha 90.00
_cell_angle_beta 90.00
_cell_angle_gamma 90.00
loop_
_atom_site_label
_atom_site_type_symbol
_atom_site_fract_x
_atom_site_fract_y
_atom_site_fract_z
_atom_site_occupancy
Ce1 Ce 0.000 0.000 0.237 1
Eu1 Eu 0.500 0.500 0.500 1
Er1 Er 0.500 0.500 0.000 1
```

Summary:
E_form: 0.191 eV/atom
excess energy over the best structure of this formula in the dataset: 0.0000 eV/atom
D(E_F): 3.192 states/eV/atom